Version P
First-principles (PBE) data for a relaxed structure of Tb6Sm8Y, as listed in the Alexandria database.

a = 9.1333 Å, b = 9.1333 Å, c = 20.8287 Å
α = 90.00°, β = 90.00°, γ = 120.00°
Space group R-3 (No. 148, hexagonal axes)
One atom of each set of equivalent atoms:
1 Tb 0.0517 0.8062 0.2066
2 Sm 0.0000 0.0000 0.0774
3 Sm 0.0811 0.5261 0.3071
4 Y 0.0000 0.0000 0.5000

---

Version Q
First-principles (PBE) data for a relaxed structure of Tb6Sm8Y, as listed in the Alexandria database.

a = 9.4251 Å, b = 9.4251 Å, c = 6.5573 Å
α = 90.00°, β = 90.00°, γ = 120.00°
Space group P-3 (No. 147)
One atom of each set of equivalent atoms:
1 Tb 0.0902 0.6543 0.1594
2 Sm 0.0321 0.7474 0.6639
3 Sm 0.3333 0.6667 0.6184
4 Y 0.0000 0.0000 0.0000

---

The data favor version P; the next most stable structure lies 0.051 eV/atom above it.

---

Version P
First-principles (PBE) data for a relaxed structure of Tb6Sm4Y, as listed in the Alexandria database.

a = 6.623 Å, b = 6.623 Å, c = 17.160 Å
α = 90.00°, β = 90.00°, γ = 90.00°
Space group I-42m (No. 121)
One atom of each set of equivalent atoms:
1 Tb 0.000 0.500 0.000
2 Tb 0.178 0.178 0.372
3 Sm 0.189 0.189 0.176
4 Y 0.000 0.000 0.000

---

Version Q
First-principles (PBE) data for a relaxed structure of Tb6Sm4Y, as listed in the Alexandria database.

a = 7.658 Å, b = 7.658 Å, c = 13.181 Å
α = 90.00°, β = 90.00°, γ = 90.00°
Space group I-42m (No. 121)
One atom of each set of equivalent atoms:
1 Tb 0.000 0.500 0.000
2 Tb 0.240 0.240 0.186
3 Sm 0.172 0.172 0.424
4 Y 0.000 0.000 0.000

---

The data favor version P; the next most stable structure lies 0.122 eV/atom above it.

---

Version P
First-principles (PBE) data for a relaxed structure of Tb2Sm7Y, as listed in the Alexandria database.

a = 6.250 Å, b = 6.250 Å, c = 9.553 Å
α = 102.59°, β = 109.08°, γ = 99.58°
Space group P-1 (No. 2)
One atom of each set of equivalent atoms:
1 Tb 0.200 0.000 0.401
2 Sm 0.000 0.500 0.500
3 Sm 0.200 0.499 0.900
4 Sm 0.400 0.000 0.799
5 Sm 0.400 0.500 0.301
6 Y 0.000 0.000 0.000

---

Version Q
First-principles (PBE) data for a relaxed structure of Tb2Sm7Y, as listed in the Alexandria database.

a = 8.749 Å, b = 16.866 Å, c = 5.508 Å
α = 90.00°, β = 90.00°, γ = 90.00°
Space group Cmmm (No. 65)
One atom of each set of equivalent atoms:
1 Tb 0.000 0.205 0.000
2 Sm 0.000 0.000 0.000
3 Sm 0.000 0.292 0.500
4 Sm 0.179 0.389 0.000
5 Y 0.000 0.500 0.500

---

The data favor version P; the next most stable structure lies 0.640 eV/atom above it.

---

Version P
First-principles (PBE) data for a relaxed structure of Tb5Sm3Y4, as listed in the Alexandria database.

a = 16.065 Å, b = 5.936 Å, c = 9.317 Å
α = 90.00°, β = 116.37°, γ = 90.00°
Space group C2/m (No. 12)
One atom of each set of equivalent atoms:
1 Tb 0.000 0.000 0.000
2 Tb 0.074 0.500 0.698
3 Tb 0.173 0.500 0.387
4 Sm 0.000 0.500 0.000
5 Sm 0.209 0.000 0.232
6 Y 0.081 0.000 0.440
7 Y 0.211 0.000 0.878

---

Version Q
First-principles (PBE) data for a relaxed structure of Tb5Sm3Y4, as listed in the Alexandria database.

a = 6.202 Å, b = 7.162 Å, c = 8.765 Å
α = 90.04°, β = 90.06°, γ = 90.14°
Space group P-1 (No. 2)
One atom of each set of equivalent atoms:
1 Tb 0.000 0.000 0.000
2 Tb 0.334 0.500 0.333
3 Tb 0.500 0.250 0.000
4 Sm 0.000 0.500 0.000
5 Sm 0.167 0.251 0.667
6 Y 0.167 0.750 0.667
7 Y 0.333 0.000 0.333

---

The data favor version Q; the next most stable structure lies 0.209 eV/atom above it.

---

Version P
First-principles (PBE) data for a relaxed structure of TbSmY4, as listed in the Alexandria database.

a = 3.452 Å, b = 5.888 Å, c = 9.905 Å
α = 90.00°, β = 90.00°, γ = 90.00°
Space group Pmmm (No. 47)
One atom of each set of equivalent atoms:
1 Tb 0.000 0.000 0.000
2 Sm 0.500 0.500 0.500
3 Y 0.000 0.500 0.185
4 Y 0.500 0.000 0.313

---

Version Q
First-principles (PBE) data for a relaxed structure of TbSmY4, as listed in the Alexandria database.

a = 10.788 Å, b = 6.228 Å, c = 12.128 Å
α = 90.00°, β = 107.23°, γ = 90.00°
Space group C2/c (No. 15)
One atom of each set of equivalent atoms:
1 Tb 0.250 0.250 0.000
2 Sm 0.000 0.083 0.750
3 Y 0.083 0.250 0.500
4 Y 0.167 0.418 0.250

---

The data favor version Q; the next most stable structure lies 0.190 eV/atom above it.

---

Version P
First-principles (PBE) data for a relaxed structure of Tb7SmY2, as listed in the Alexandria database.

a = 8.601 Å, b = 17.475 Å, c = 5.231 Å
α = 90.00°, β = 90.00°, γ = 90.00°
Space group Cmmm (No. 65)
One atom of each set of equivalent atoms:
1 Tb 0.000 0.000 0.000
2 Tb 0.000 0.304 0.500
3 Tb 0.180 0.392 0.000
4 Sm 0.000 0.500 0.500
5 Y 0.000 0.204 0.000

---

Version Q
First-principles (PBE) data for a relaxed structure of Tb7SmY2, as listed in the Alexandria database.

a = 6.177 Å, b = 7.142 Å, c = 7.973 Å
α = 77.10°, β = 75.04°, γ = 73.27°
Space group P-1 (No. 2)
One atom of each set of equivalent atoms:
1 Tb 0.000 0.000 0.000
2 Tb 0.200 0.801 0.600
3 Tb 0.399 0.100 0.200
4 Tb 0.400 0.600 0.200
5 Sm 0.000 0.500 0.000
6 Y 0.202 0.299 0.599

---

The data favor version Q; the next most stable structure lies 0.681 eV/atom above it.

---

Version P
First-principles (PBE) data for a relaxed structure of Tb3Sm2Y3, as listed in the Alexandria database.

a = 5.067 Å, b = 5.071 Å, c = 20.232 Å
α = 90.00°, β = 90.00°, γ = 90.00°
Space group Immm (No. 71)
One atom of each set of equivalent atoms:
1 Tb 0.000 0.000 0.000
2 Tb 0.000 0.500 0.376
3 Sm 0.000 0.000 0.250
4 Y 0.000 0.000 0.500
5 Y 0.000 0.500 0.124

---

Version Q
First-principles (PBE) data for a relaxed structure of Tb3Sm2Y3, as listed in the Alexandria database.

a = 5.713 Å, b = 14.608 Å, c = 6.321 Å
α = 90.00°, β = 90.00°, γ = 90.00°
Space group Pmmn (No. 59, origin choice 2)
One atom of each set of equivalent atoms:
1 Tb 0.250 0.125 0.163
2 Tb 0.250 0.750 0.672
3 Sm 0.250 0.625 0.169
4 Y 0.250 0.250 0.659
5 Y 0.250 0.501 0.667

---

The data favor version Q; the next most stable structure lies 0.006 eV/atom above it.

---

Version P
First-principles (PBE) data for a relaxed structure of Tb4SmY3, as listed in the Alexandria database.

a = 11.348 Å, b = 7.312 Å, c = 6.318 Å
α = 90.00°, β = 90.00°, γ = 90.00°
Space group Pmn2_1 (No. 31)
One atom of each set of equivalent atoms:
1 Tb 0.000 0.124 0.000
2 Tb 0.000 0.876 0.499
3 Tb 0.249 0.876 0.830
4 Sm 0.000 0.373 0.496
5 Y 0.000 0.626 0.996
6 Y 0.250 0.374 0.831

---

Version Q
First-principles (PBE) data for a relaxed structure of Tb4SmY3, as listed in the Alexandria database.

a = 23.557 Å, b = 3.473 Å, c = 6.741 Å
α = 90.00°, β = 106.54°, γ = 90.00°
Space group C2/m (No. 12)
One atom of each set of equivalent atoms:
1 Tb 0.125 0.000 0.370
2 Tb 0.240 0.500 0.244
3 Sm 0.000 0.500 0.000
4 Y 0.000 0.000 0.500
5 Y 0.126 0.000 0.883

---

The data favor version P; the next most stable structure lies 0.164 eV/atom above it.

---

Version P
First-principles (PBE) data for a relaxed structure of Tb12SmY6, as listed in the Alexandria database.

a = 13.4077 Å, b = 13.4077 Å, c = 12.8285 Å
α = 90.00°, β = 90.00°, γ = 120.00°
Space group R-3m (No. 166, hexagonal axes)
One atom of each set of equivalent atoms:
1 Tb 0.0000 0.3823 0.0000
2 Tb 0.0953 0.1906 0.8745
3 Sm 0.0000 0.0000 0.5000
4 Y 0.0269 0.5135 0.2170

---

Version Q
First-principles (PBE) data for a relaxed structure of Tb12SmY6, as listed in the Alexandria database.

a = 13.2235 Å, b = 13.2235 Å, c = 12.6487 Å
α = 90.00°, β = 90.00°, γ = 120.00°
Space group R-3m (No. 166, hexagonal axes)
One atom of each set of equivalent atoms:
1 Tb 0.0000 0.2569 0.0000
2 Tb 0.0915 0.1831 0.7641
3 Sm 0.0000 0.0000 0.5000
4 Y 0.0382 0.5191 0.1206

---

The data favor version Q; the next most stable structure lies 0.238 eV/atom above it.

---

Version P
First-principles (PBE) data for a relaxed structure of Tb7SmY4, as listed in the Alexandria database.

a = 12.039 Å, b = 5.913 Å, c = 12.723 Å
α = 90.00°, β = 118.20°, γ = 90.00°
Space group C2/m (No. 12)
One atom of each set of equivalent atoms:
1 Tb 0.000 0.000 0.000
2 Tb 0.131 0.500 0.499
3 Tb 0.212 0.000 0.923
4 Tb 0.236 0.000 0.675
5 Sm 0.000 0.500 0.000
6 Y 0.065 0.000 0.318
7 Y 0.141 0.500 0.776

---

Version Q
First-principles (PBE) data for a relaxed structure of Tb7SmY4, as listed in the Alexandria database.

a = 6.239 Å, b = 7.200 Å, c = 8.876 Å
α = 89.97°, β = 76.34°, γ = 89.93°
Space group P-1 (No. 2)
One atom of each set of equivalent atoms:
1 Tb 0.000 0.000 0.000
2 Tb 0.221 0.500 0.334
3 Tb 0.278 0.250 0.666
4 Tb 0.499 0.250 0.999
5 Sm 0.000 0.500 0.000
6 Y 0.221 0.000 0.334
7 Y 0.280 0.750 0.666

---

The data favor version Q; the next most stable structure lies 0.269 eV/atom above it.